Density functional theory data (PBE+U) for a relaxed Na3TaNi2O6 crystal.

Cell lengths 5.333, 9.237, 5.707 Å; angles 90.00, 108.10, 90.00 degrees
Space group C2/m (No. 12)
Symmetry-distinct sites (fractional):
Na: 0.000 0.000 0.000 (multiplicity 2)
Na: 0.000 0.325 0.000 (multiplicity 4)
Ta: 0.000 0.500 0.500 (multiplicity 2)
Ni: 0.000 0.166 0.500 (multiplicity 4)
O: 0.227 0.342 0.706 (multiplicity 8)
O: 0.248 0.500 0.294 (multiplicity 4)

Calculated values
- DOS at the Fermi energy (states/eV per atom) = 0.000
- calculated total energy (eV/atom) = -6.10
- V (A^3/atom) = 11.13